[1]
Below is LaTaSe2 at its PBEsol-relaxed geometry, with properties calculated at the SCAN level.

POSCAR file:
```
LaTaSe2
1.0
3.493 0.000 0.000
0.000 3.659 0.000
0.000 0.000 7.031
La Ta Se
1 1 2
Direct
0.000 0.000 0.000
0.500 0.000 0.500
0.500 0.500 0.241
0.500 0.500 0.759
```

Summary:
- total energy (eV/cell) = -153.3
- E above lowest polymorph (meV/atom) = 0
- uncorrected formation energy (meV/atom) = -854
- space group = Pmmm (47)
- crystal system = orthorhombic

---

[2]
Below is LaTaSe2 at its PBEsol-relaxed geometry, with properties calculated at the SCAN level.

POSCAR file:
```
LaTaSe2
1.0
0.000 3.490 3.490
3.490 0.000 3.490
3.490 3.490 0.000
La Ta Se
1 1 2
Direct
0.000 0.000 0.000
0.750 0.750 0.750
0.250 0.250 0.250
0.500 0.500 0.500
```

Summary:
- total energy (eV/cell) = -149.1
- E above lowest polymorph (meV/atom) = 1051
- uncorrected formation energy (meV/atom) = 197
- space group = F-43m (216)
- crystal system = cubic

---

[3]
Below is La2TaSe at its PBEsol-relaxed geometry, with properties calculated at the SCAN level.

POSCAR file:
```
La2TaSe
1.0
1.921 1.109 8.591
-1.921 1.109 8.591
0.000 -2.219 8.591
La Ta Se
2 1 1
Direct
0.245 0.245 0.245
0.755 0.755 0.755
0.000 0.000 0.000
0.500 0.500 0.500
```

Summary:
- total energy (eV/cell) = -174.6
- uncorrected formation energy (meV/atom) = -440
- space group = R-3m (166)
- crystal system = trigonal

---

[4]
Below is La2TaSe at its PBEsol-relaxed geometry, with properties calculated at the SCAN level.

POSCAR file:
```
La2TaSe
1.0
5.424 0.000 0.000
0.000 5.424 0.000
0.000 0.000 3.382
La Ta Se
2 1 1
Direct
0.000 0.500 0.000
0.500 0.000 0.000
0.000 0.000 0.500
0.500 0.500 0.500
```

Summary:
- total energy (eV/cell) = -174.1
- uncorrected formation energy (meV/atom) = -315
- space group = P4/mmm (123)
- crystal system = tetragonal

---

[5]
Below is LaTaSe at its PBEsol-relaxed geometry, with properties calculated at the SCAN level.

POSCAR file:
```
LaTaSe
1.0
4.447 0.000 0.000
-2.224 3.851 0.000
0.000 0.000 4.053
La Ta Se
1 1 1
Direct
0.000 0.000 0.000
0.667 0.333 0.500
0.333 0.667 0.500
```

Summary:
- total energy (eV/cell) = -130.4
- E above lowest polymorph (meV/atom) = 243
- uncorrected formation energy (meV/atom) = -212
- space group = P-6m2 (187)
- crystal system = hexagonal

---

[6]
Below is LaTc3Se at its PBEsol-relaxed geometry, with properties calculated at the SCAN level.

POSCAR file:
```
LaTc3Se
1.0
4.601 0.000 0.000
0.000 4.601 0.000
0.000 0.000 4.601
La Tc Se
1 3 1
Direct
0.000 0.000 0.000
0.000 0.500 0.500
0.500 0.000 0.500
0.500 0.500 0.000
0.500 0.500 0.500
```

Summary:
- total energy (eV/cell) = -165.8
- uncorrected formation energy (meV/atom) = 503
- space group = Pm-3m (221)
- crystal system = cubic

---

> Number 3 is which compound?

La2TaSe

---

> Which formula does entry 3 have?

La2TaSe

---

> Which formula does entry 5 have?

LaTaSe

---

> Which formula does entry 2 have?

LaTaSe2